! YTh2Ge3Rh4 | Alexandria via LeMat-Bulk | GGA-PBE | optimized geometry; values from VASP
! E_form in meV/atom: -886
! Total DFT energy (no corrections) in eV/atom: -7.342
! Fermi-level density of states in states/eV/cell: 5.842
! Volume in Å³ per cell: 198.2
! Space group: P-4m2, No. 115
! Crystal system: tetragonal
&SYSTEM
  ibrav = 0, nat = 10, ntyp = 4
/
ATOMIC_SPECIES
Y 88.91 Y.upf
Rh 102.91 Rh.upf
Ge 72.64 Ge.upf
Th 232.04 Th.upf
ATOMIC_POSITIONS angstrom
Y 3.902 -5.122 0.582
Rh 3.335 -6.623 2.920
Ge 3.056 -3.805 3.062
Th 0.660 -3.292 0.239
Ge 4.636 -8.242 4.223
Rh 0.845 -1.317 -2.480
Th 6.298 -5.635 3.405
Rh 3.622 -2.304 0.724
Ge 2.322 -0.685 -0.579
Rh 0.000 0.000 0.000
CELL_PARAMETERS angstrom
-1.493 -3.082 -2.340
3.183 0.448 -2.621
6.112 -7.610 6.124